Record 1
Computed, not measured: an optimized crystal structure of Ho2Tl3Te6Pb at the GGA-PBE level of DFT.

Unit cell a=7.858 b=7.858 c=8.299 alpha=99.08 beta=99.08 gamma=120.07
Element x y z (fractional)
Ho 0.169 0.831 0.000
Ho 0.831 0.169 0.000
Tl 0.000 0.000 0.500
Tl 0.339 0.661 0.500
Tl 0.661 0.339 0.500
Te 0.074 0.425 0.777
Te 0.220 0.220 0.215
Te 0.425 0.074 0.777
Te 0.575 0.926 0.223
Te 0.780 0.780 0.785
Te 0.926 0.575 0.223
Pb 0.500 0.500 0.000

Results
Total DFT energy (no corrections) ... -0.29542 Ry per atom
Space-group type ... C2/m (12)

=====

Record 2
Computed, not measured: an optimized crystal structure of Ho2TlTe6Pb3 at the GGA-PBE level of DFT.

Unit cell a=10.166 b=10.166 c=9.553 alpha=102.40 beta=102.40 gamma=25.31
Element x y z (fractional)
Ho 0.168 0.168 0.340
Ho 0.832 0.832 0.660
Tl 0.500 0.500 0.000
Te 0.012 0.012 0.265
Te 0.323 0.323 0.884
Te 0.330 0.330 0.428
Te 0.670 0.670 0.572
Te 0.677 0.677 0.116
Te 0.988 0.988 0.735
Pb 0.158 0.158 0.841
Pb 0.500 0.500 0.500
Pb 0.842 0.842 0.159

Results
Total DFT energy (no corrections) ... -0.30568 Ry per atom
Space-group type ... C2/m (12)

=====

Record 3
Computed, not measured: an optimized crystal structure of HoTmTePb at the GGA-PBE level of DFT.

Unit cell a=4.379 b=4.379 c=6.170 alpha=90.00 beta=90.00 gamma=90.00
Element x y z (fractional)
Ho 0.000 0.000 0.000
Tm 0.500 0.500 0.501
Te 0.000 0.000 0.500
Pb 0.500 0.500 0.001

Results
Total DFT energy (no corrections) ... -0.35717 Ry per atom
Space-group type ... P4mm (99)

=====

Record 4
Computed, not measured: an optimized crystal structure of YHoTePb at the GGA-PBE level of DFT.

Unit cell a=4.404 b=4.404 c=6.214 alpha=90.00 beta=90.00 gamma=90.00
Element x y z (fractional)
Y 0.000 0.000 0.000
Ho 0.500 0.500 0.501
Te 0.000 0.000 0.500
Pb 0.500 0.500 0.001

Results
Total DFT energy (no corrections) ... -0.39810 Ry per atom
Space-group type ... P4mm (99)

=====

Record 5
Computed, not measured: an optimized crystal structure of Ho2ThPb at the GGA-PBE level of DFT.

Unit cell a=3.549 b=3.549 c=35.678 alpha=90.00 beta=90.00 gamma=120.00
Element x y z (fractional)
Ho 0.000 0.000 0.089
Ho 0.000 0.000 0.911
Ho 0.333 0.667 0.578
Ho 0.333 0.667 0.755
Ho 0.667 0.333 0.245
Ho 0.667 0.333 0.422
Th 0.000 0.000 0.500
Th 0.333 0.667 0.167
Th 0.667 0.333 0.833
Pb 0.000 0.000 0.000
Pb 0.333 0.667 0.667
Pb 0.667 0.333 0.333

Results
E above lowest polymorph ... 259 meV per atom
Energy relative to the elements ... 33 meV/atom
Space-group type ... R-3m (166)

=====

Record 6
Computed, not measured: an optimized crystal structure of HoThPb2 at the GGA-PBE level of DFT.

Unit cell a=3.593 b=3.593 c=8.978 alpha=90.00 beta=90.00 gamma=90.00
Element x y z (fractional)
Ho 0.000 0.000 0.000
Th 0.000 0.000 0.500
Pb 0.500 0.500 0.240
Pb 0.500 0.500 0.760

Results
E above lowest polymorph ... 0 meV per atom
Energy relative to the elements ... -344 meV/atom
Space-group type ... P4/mmm (123)

=====

Record 7
Computed, not measured: an optimized crystal structure of HoThPb at the GGA-PBE level of DFT.

Unit cell a=4.572 b=4.572 c=17.612 alpha=90.00 beta=90.00 gamma=90.00
Element x y z (fractional)
Ho 0.000 0.000 0.174
Ho 0.000 0.000 0.826
Ho 0.500 0.500 0.326
Ho 0.500 0.500 0.674
Th 0.000 0.500 0.000
Th 0.000 0.500 0.500
Th 0.500 0.000 0.000
Th 0.500 0.000 0.500
Pb 0.000 0.000 0.353
Pb 0.000 0.000 0.647
Pb 0.500 0.500 0.147
Pb 0.500 0.500 0.853

Results
E above lowest polymorph ... 0 meV per atom
Energy relative to the elements ... -336 meV/atom
Space-group type ... I4/mmm (139)

=====

Record 8
Computed, not measured: an optimized crystal structure of HoThPb2 at the GGA-PBE level of DFT.

Unit cell a=7.784 b=7.784 c=7.784 alpha=90.00 beta=90.00 gamma=90.00
Element x y z (fractional)
Ho 0.000 0.000 0.000
Ho 0.000 0.500 0.500
Ho 0.500 0.000 0.500
Ho 0.500 0.500 0.000
Th 0.000 0.000 0.500
Th 0.000 0.500 0.000
Th 0.500 0.000 0.000
Th 0.500 0.500 0.500
Pb 0.250 0.250 0.250
Pb 0.250 0.250 0.750
Pb 0.250 0.750 0.250
Pb 0.250 0.750 0.750
Pb 0.750 0.250 0.250
Pb 0.750 0.250 0.750
Pb 0.750 0.750 0.250
Pb 0.750 0.750 0.750

Results
E above lowest polymorph ... 95 meV per atom
Energy relative to the elements ... -249 meV/atom
Space-group type ... Fm-3m (225)

=====

Record 9
Computed, not measured: an optimized crystal structure of HoThPb at the GGA-PBE level of DFT.

Unit cell a=5.452 b=5.452 c=3.589 alpha=90.00 beta=90.00 gamma=120.00
Element x y z (fractional)
Ho 0.000 0.000 0.000
Th 0.333 0.667 0.477
Pb 0.667 0.333 0.817

Results
E above lowest polymorph ... 287 meV per atom
Energy relative to the elements ... -49 meV/atom
Space-group type ... P3m1 (156)

=====

Record 10
Computed, not measured: an optimized crystal structure of Ho2ThPb at the GGA-PBE level of DFT.

Unit cell a=3.568 b=3.568 c=33.009 alpha=90.00 beta=90.00 gamma=120.00
Element x y z (fractional)
Ho 0.000 0.000 0.000
Ho 0.000 0.000 0.174
Ho 0.333 0.667 0.667
Ho 0.333 0.667 0.841
Ho 0.667 0.333 0.333
Ho 0.667 0.333 0.508
Th 0.000 0.000 0.754
Th 0.333 0.667 0.421
Th 0.667 0.333 0.087
Pb 0.000 0.000 0.587
Pb 0.333 0.667 0.254
Pb 0.667 0.333 0.921

Results
E above lowest polymorph ... 95 meV per atom
Energy relative to the elements ... -130 meV/atom
Space-group type ... R3m (160)

=====

Record 11
Computed, not measured: an optimized crystal structure of HoThPb2 at the GGA-PBE level of DFT.

Unit cell a=4.401 b=4.401 c=8.008 alpha=90.00 beta=90.00 gamma=120.00
Element x y z (fractional)
Ho 0.000 0.000 0.000
Th 0.000 0.000 0.500
Pb 0.333 0.667 0.242
Pb 0.667 0.333 0.758

Results
E above lowest polymorph ... 178 meV per atom
Energy relative to the elements ... -166 meV/atom
Space-group type ... P-3m1 (164)

=====

Record 12
Computed, not measured: an optimized crystal structure of HoThPb2 at the GGA-PBE level of DFT.

Unit cell a=5.057 b=5.057 c=4.549 alpha=90.00 beta=90.00 gamma=90.00
Element x y z (fractional)
Ho 0.000 0.000 0.000
Th 0.500 0.500 0.000
Pb 0.000 0.500 0.500
Pb 0.500 0.000 0.500

Results
E above lowest polymorph ... 9 meV per atom
Energy relative to the elements ... -335 meV/atom
Space-group type ... P4/mmm (123)

=====

Number 1: mass density 7.6 Mg/m³, spin magnetization 0.0 μB per formula unit. Number 2: mass density 7.8 Mg/m³, spin magnetization 0.0 μB per formula unit. Number 3: mass density 9.4 Mg/m³, spin magnetization 0.0 μB per formula unit. Number 4: mass density 8.1 Mg/m³, spin magnetization 0.0 μB per formula unit. Number 5: mass density 9.8 Mg/m³, spin magnetization 0.0 μB per formula unit. Number 6: mass density 11.6 Mg/m³, spin magnetization 0.1 μB per formula unit. Number 7: mass density 10.9 Mg/m³, spin magnetization 0.0 μB per formula unit. Number 8: mass density 11.4 Mg/m³, spin magnetization 0.0 μB per formula unit. Number 9: mass density 10.9 Mg/m³, spin magnetization 0.0 μB per formula unit. Number 10: mass density 10.5 Mg/m³, spin magnetization 0.0 μB per formula unit. Number 11: mass density 10.0 Mg/m³, spin magnetization 0.0 μB per formula unit. Number 12: mass density 11.6 Mg/m³, spin magnetization 0.0 μB per formula unit.